This record from Alexandria describes a geometry-optimized BaSi2Os structure. The functional is PBE-GGA.

Structure (CIF):
```
data_BaSi2Os
_chemical_formula_sum 'Ba1 Si2 Os1'
_cell_length_a 3.037
_cell_length_b 3.488
_cell_length_c 7.403
_cell_angle_alpha 90.00
_cell_angle_beta 90.00
_cell_angle_gamma 90.00
_symmetry_space_group_name_H-M 'P m m m'
_symmetry_Int_Tables_number 47
_symmetry_space_group_name_Hall '-P 2 2'
loop_
_atom_site_label
_atom_site_fract_x
_atom_site_fract_y
_atom_site_fract_z
Ba1 0.000 0.000 0.000
Si1 0.500 0.500 0.331
Os1 0.000 0.000 0.500
```

Values from the calculation:
total magnetic moment = 0.000 μB/cell
uncorrected formation energy = 0.032 eV per atom
E = -0.2193 hartree per atom


This record from Alexandria describes a geometry-optimized Tm2TlZn3 structure. The functional is PBE-GGA.

Structure (CIF):
```
data_Tm2TlZn3
_chemical_formula_sum 'Tm4 Tl2 Zn6'
_cell_length_a 3.612
_cell_length_b 4.557
_cell_length_c 16.036
_cell_angle_alpha 90.00
_cell_angle_beta 90.00
_cell_angle_gamma 90.00
_symmetry_space_group_name_H-M 'I m m 2'
_symmetry_Int_Tables_number 44
_symmetry_space_group_name_Hall 'I 2 -2'
loop_
_atom_site_label
_atom_site_fract_x
_atom_site_fract_y
_atom_site_fract_z
Tm1 0.000 0.000 0.000
Tm2 0.000 0.500 0.289
Tl1 0.000 0.000 0.608
Zn1 0.000 0.000 0.442
Zn2 0.000 0.500 0.693
Zn3 0.000 0.500 0.844
```

Values from the calculation:
total magnetic moment = 0.000 μB/cell
formation energy from the elements = -0.22 eV per atom
offset from the most stable computed form = 0.098 eV per atom
E = -0.1007 hartree per atom


Which value of E does entry 1 give? -0.2193 hartree per atom


E of number 2 (Tm2TlZn3)? -0.1007 hartree per atom